GGA-PBE ZrSc2CdO, relaxed; energy relative to the elements, uncorrected = -1.2888 eV/atom; SG = No. 123
1.0
4.444 0.000 0.000
0.000 4.444 0.000
0.000 0.000 4.525
Zr Sc Cd O
1 2 1 1
direct
0.000 0.000 0.000
0.000 0.500 0.500
0.500 0.000 0.500
0.500 0.500 0.000
0.000 0.000 0.500


GGA-PBE Al2AgIr2, relaxed; formation energy from the elements = -0.52 eV per atom; ΔE to the lowest computed polymorph = 0.04 eV/f.u.; SG = No. 127
1.0
7.309 0.000 0.000
0.000 7.309 0.000
0.000 0.000 2.888
Al Ag Ir
4 2 4
direct
0.153 0.347 0.000
0.347 0.847 0.000
0.653 0.153 0.000
0.847 0.653 0.000
0.000 0.000 0.500
0.500 0.500 0.500
0.143 0.643 0.500
0.357 0.143 0.500
0.643 0.857 0.500
0.857 0.357 0.500


GGA-PBE Hf2MgZn, relaxed; formation energy from the elements = 0.02 eV per atom; ΔE to the lowest computed polymorph = 0.00 eV/f.u.; SG = No. 123
1.0
3.374 0.000 0.000
0.000 3.374 0.000
0.000 0.000 6.880
Hf Mg Zn
2 1 1
direct
0.000 0.000 0.235
0.000 0.000 0.765
0.500 0.500 0.500
0.500 0.500 0.000


GGA-PBE Ho4CdPd2Pt, relaxed; formation energy from the elements = -0.84 eV per atom; SG = No. 166
1.0
2.509 1.448 8.174
-2.509 1.448 8.174
0.000 -2.897 8.174
Ho Cd Pd Pt
4 1 2 1
direct
0.119 0.119 0.119
0.369 0.369 0.369
0.631 0.631 0.631
0.881 0.881 0.881
0.500 0.500 0.500
0.242 0.242 0.242
0.758 0.758 0.758
0.000 0.000 0.000


GGA-PBE Nd4TlAg2, relaxed; formation energy from the elements = -0.16 eV per atom; SG = No. 166
1.0
2.664 1.538 8.473
-2.664 1.538 8.473
0.000 -3.076 8.473
Nd Tl Ag
4 1 2
direct
0.115 0.115 0.115
0.369 0.369 0.369
0.631 0.631 0.631
0.885 0.885 0.885
0.500 0.500 0.500
0.243 0.243 0.243
0.757 0.757 0.757


GGA-PBE Nd6As2P3Br, relaxed; energy relative to the elements, uncorrected = -1.5470 eV/atom; SG = No. 12
1.0
9.221 -2.101 0.000
9.221 2.101 0.000
-2.024 0.000 8.264
Nd As P Br
6 2 3 1
direct
0.002 0.002 0.225
0.325 0.325 0.417
0.334 0.334 0.914
0.666 0.666 0.086
0.675 0.675 0.583
0.998 0.998 0.775
0.165 0.165 0.829
0.835 0.835 0.171
0.165 0.165 0.334
0.500 0.500 0.000
0.835 0.835 0.666
0.500 0.500 0.500


GGA-PBE AlTl2PbO6, relaxed; energy relative to the elements, uncorrected = -1.2097 eV/atom; SG = No. 146
1.0
2.819 1.627 4.921
-2.819 1.627 4.921
0.000 -3.255 4.921
Al Tl Pb O
1 2 1 6
direct
0.000 0.000 0.000
0.221 0.221 0.221
0.709 0.709 0.709
0.488 0.488 0.488
0.096 0.815 0.353
0.252 0.654 0.898
0.353 0.096 0.815
0.654 0.898 0.252
0.815 0.353 0.096
0.898 0.252 0.654


GGA-PBE TiCuI6, relaxed; energy relative to the elements, uncorrected = -0.3797 eV/atom; ΔE to the lowest computed polymorph = 0.16 eV/f.u.; SG = No. 2
1.0
6.740 0.000 0.000
-0.045 7.321 0.000
-3.098 -3.328 5.898
Ti Cu I
1 1 6
direct
0.000 0.000 0.000
0.500 0.500 0.000
0.036 0.213 0.417
0.259 0.754 0.157
0.403 0.271 0.159
0.597 0.729 0.841
0.741 0.246 0.843
0.964 0.787 0.583


GGA-PBE AlIn2W, relaxed; formation energy from the elements = 0.88 eV per atom; SG = No. 122
1.0
-3.912 3.912 2.782
3.912 -3.912 2.782
3.912 3.912 -2.782
Al In W
2 4 2
direct
0.000 0.000 0.000
0.750 0.250 0.500
0.132 0.125 0.507
0.375 0.868 0.993
0.618 0.625 0.493
0.875 0.382 0.007
0.250 0.750 0.500
0.500 0.500 0.000


GGA-PBE LaMgTl3, relaxed; formation energy from the elements = -0.13 eV per atom; ΔE to the lowest computed polymorph = 0.00 eV/f.u.; SG = No. 107
1.0
-2.508 2.508 5.782
2.508 -2.508 5.782
2.508 2.508 -5.782
La Mg Tl
1 1 3
direct
0.000 0.000 0.000
0.640 0.640 0.000
0.251 0.751 0.500
0.407 0.407 0.000
0.751 0.251 0.500


GGA-PBE TbPm2US4, relaxed; energy relative to the elements, uncorrected = -1.8430 eV/atom; SG = No. 10
1.0
6.880 0.000 0.000
0.000 3.938 0.000
-2.256 0.000 6.519
Tb Pm U S
1 2 1 4
direct
0.000 0.000 0.000
0.000 0.500 0.500
0.500 0.000 0.500
0.500 0.500 0.000
0.248 0.500 0.240
0.254 0.000 0.761
0.746 0.000 0.239
0.752 0.500 0.760


GGA-PBE Pm3CdPd, relaxed; formation energy from the elements = -0.40 eV per atom; SG = No. 12
1.0
4.872 -3.394 0.000
4.872 3.394 0.000
-4.852 0.000 8.451
Pm Cd Pd
6 2 2
direct
0.081 0.081 0.289
0.293 0.293 0.707
0.299 0.299 0.098
0.701 0.701 0.902
0.707 0.707 0.293
0.919 0.919 0.711
0.298 0.702 0.500
0.702 0.298 0.500
0.254 0.746 0.000
0.746 0.254 0.000


GGA-PBE PmTh4As5, relaxed; formation energy from the elements = -1.43 eV per atom; SG = No. 87
1.0
-4.751 4.751 3.006
4.751 -4.751 3.006
4.751 4.751 -3.006
Pm Th As
1 4 5
direct
0.000 0.000 0.000
0.200 0.601 0.801
0.399 0.200 0.600
0.601 0.800 0.400
0.800 0.399 0.199
0.100 0.300 0.400
0.300 0.900 0.200
0.500 0.500 0.000
0.700 0.100 0.800
0.900 0.700 0.600


GGA-PBE K2BePtW, relaxed; formation energy from the elements = 1.43 eV per atom; SG = No. 123
1.0
6.113 0.000 0.000
0.000 6.113 0.000
0.000 0.000 4.203
K Be Pt W
2 1 1 1
direct
0.000 0.500 0.000
0.500 0.000 0.000
0.000 0.000 0.000
0.000 0.000 0.500
0.500 0.500 0.500


GGA-PBE CaSmBiAu, relaxed; formation energy from the elements = -0.72 eV per atom; SG = No. 216
1.0
0.000 3.808 3.808
3.808 0.000 3.808
3.808 3.808 0.000
Ca Sm Bi Au
1 1 1 1
direct
0.000 0.000 0.000
0.500 0.500 0.500
0.750 0.750 0.750
0.250 0.250 0.250


GGA-PBE Tl5In2Hg12, relaxed; formation energy from the elements = 0.00 eV per atom; SG = No. 12
1.0
10.766 -4.021 0.000
10.766 4.021 0.000
-1.341 0.000 6.392
Tl In Hg
5 2 12
direct
0.000 0.000 0.000
0.229 0.229 0.860
0.331 0.331 0.385
0.669 0.669 0.615
0.771 0.771 0.140
0.285 0.715 0.500
0.715 0.285 0.500
0.009 0.603 0.693
0.093 0.093 0.472
0.149 0.641 0.109
0.359 0.851 0.891
0.397 0.991 0.307
0.441 0.441 0.809
0.559 0.559 0.191
0.603 0.009 0.693
0.641 0.149 0.109
0.851 0.359 0.891
0.907 0.907 0.528
0.991 0.397 0.307


GGA-PBE Y12Tm3Hg5, relaxed; formation energy from the elements = 0.38 eV per atom; SG = No. 230
1.0
-9.028 9.028 9.028
9.028 -9.028 9.028
9.028 9.028 -9.028
Y Tm Hg
48 12 20
direct
0.052 0.219 0.127
0.052 0.333 0.925
0.075 0.627 0.408
0.075 0.948 0.667
0.092 0.719 0.667
0.092 0.873 0.425
0.127 0.052 0.219
0.127 0.575 0.908
0.167 0.219 0.592
0.167 0.448 0.575
0.219 0.127 0.052
0.219 0.592 0.167
0.281 0.333 0.908
0.281 0.448 0.373
0.333 0.908 0.281
0.333 0.925 0.052
0.373 0.281 0.448
0.373 0.592 0.925
0.408 0.075 0.627
0.408 0.833 0.781
0.425 0.092 0.873
0.425 0.833 0.552
0.448 0.373 0.281
0.448 0.575 0.167
0.552 0.425 0.833
0.552 0.627 0.719
0.575 0.167 0.448
0.575 0.908 0.127
0.592 0.167 0.219
0.592 0.925 0.373
0.627 0.408 0.075
0.627 0.719 0.552
0.667 0.075 0.948
0.667 0.092 0.719
0.719 0.552 0.627
0.719 0.667 0.092
0.781 0.408 0.833
0.781 0.873 0.948
0.833 0.552 0.425
0.833 0.781 0.408
0.873 0.425 0.092
0.873 0.948 0.781
0.908 0.127 0.575
0.908 0.281 0.333
0.925 0.052 0.333
0.925 0.373 0.592
0.948 0.667 0.075
0.948 0.781 0.873
0.125 0.250 0.375
0.125 0.375 0.750
0.250 0.375 0.125
0.250 0.875 0.625
0.375 0.125 0.250
0.375 0.750 0.125
0.625 0.250 0.875
0.625 0.875 0.750
0.750 0.125 0.375
0.750 0.625 0.875
0.875 0.625 0.250
0.875 0.750 0.625
0.000 0.000 0.000
0.000 0.000 0.500
0.000 0.500 0.000
0.000 0.500 0.500
0.125 0.750 0.875
0.125 0.875 0.250
0.250 0.125 0.875
0.250 0.625 0.375
0.375 0.250 0.625
0.375 0.625 0.750
0.500 0.000 0.000
0.500 0.000 0.500
0.500 0.500 0.000
0.500 0.500 0.500
0.625 0.375 0.250
0.625 0.750 0.375
0.750 0.375 0.625
0.750 0.875 0.125
0.875 0.125 0.750
0.875 0.250 0.125


GGA-PBE MgSbSe, relaxed; energy relative to the elements, uncorrected = -0.1180 eV/atom; SG = No. 216
1.0
0.000 3.402 3.402
3.402 0.000 3.402
3.402 3.402 0.000
Mg Sb Se
1 1 1
direct
0.000 0.000 0.000
0.750 0.750 0.750
0.250 0.250 0.250


GGA-PBE TiNbAl2Sn, relaxed; formation energy from the elements = 0.87 eV per atom; SG = No. 123
1.0
4.876 0.000 0.000
0.000 4.876 0.000
0.000 0.000 5.204
Ti Nb Al Sn
1 1 2 1
direct
0.000 0.000 0.000
0.500 0.500 0.500
0.000 0.500 0.500
0.500 0.000 0.500
0.500 0.500 0.000


GGA-PBE In3Re, relaxed; formation energy from the elements = 0.57 eV per atom; ΔE to the lowest computed polymorph = 1.13 eV/f.u.; SG = No. 139
1.0
-2.139 2.139 4.370
2.139 -2.139 4.370
2.139 2.139 -4.370
In Re
3 1
direct
0.000 0.000 0.000
0.250 0.750 0.500
0.750 0.250 0.500
0.500 0.500 0.000


Number 1: spin magnetization 0.00 Bohr magnetons per cell, N(E_F) 0.655 states/eV/atom. Number 2: spin magnetization 0.00 Bohr magnetons per cell, N(E_F) 0.418 states/eV/atom. Number 3: spin magnetization 0.00 Bohr magnetons per cell, N(E_F) 0.313 states/eV/atom. Number 4: spin magnetization 0.00 Bohr magnetons per cell, N(E_F) 0.709 states/eV/atom. Number 5: spin magnetization 1.51 Bohr magnetons per cell, N(E_F) 1.216 states/eV/atom. Number 6: spin magnetization 0.00 Bohr magnetons per cell, N(E_F) 0.331 states/eV/atom. Number 7: spin magnetization 0.00 Bohr magnetons per cell, N(E_F) 0.426 states/eV/atom. Number 8: spin magnetization 0.00 Bohr magnetons per cell, N(E_F) 0.705 states/eV/atom. Number 9: spin magnetization 0.00 Bohr magnetons per cell, N(E_F) 0.448 states/eV/atom. Number 10: spin magnetization 0.00 Bohr magnetons per cell, N(E_F) 0.421 states/eV/atom. Number 11: spin magnetization 2.69 Bohr magnetons per cell, N(E_F) 1.123 states/eV/atom. Number 12: spin magnetization 0.00 Bohr magnetons per cell, N(E_F) 0.875 states/eV/atom. Number 13: spin magnetization 0.00 Bohr magnetons per cell, N(E_F) 0.579 states/eV/atom. Number 14: spin magnetization 4.83 Bohr magnetons per cell, N(E_F) 0.585 states/eV/atom. Number 15: spin magnetization 0.00 Bohr magnetons per cell, N(E_F) 0.840 states/eV/atom. Number 16: spin magnetization 0.00 Bohr magnetons per cell, N(E_F) 0.317 states/eV/atom. Number 17: spin magnetization 0.00 Bohr magnetons per cell, N(E_F) 1.531 states/eV/atom. Number 18: spin magnetization 0.00 Bohr magnetons per cell, N(E_F) 0.566 states/eV/atom. Number 19: spin magnetization 0.00 Bohr magnetons per cell, N(E_F) 1.663 states/eV/atom. Number 20: spin magnetization 0.00 Bohr magnetons per cell, N(E_F) 0.703 states/eV/atom.